Computed, not measured: a geometry-optimized BaNdMoO6 structure at the GGA+U level of DFT.

abc: 5.6510 10.3056 5.5851
angles: 90.00 92.02 90.00
With the nearest neighbours (Å) after each atom.
Space group C2 (No. 5)
Asymmetric unit:
Ba  0.0000  0.0000  0.0000 (multiplicity 2)  6 O 2.75-2.78
Nd  0.0000  0.3306  0.5000 (multiplicity 2)  6 O 2.27-2.39
Mo  0.0000  0.6520  0.5000 (multiplicity 2)  6 O 1.88-2.09
O  0.1345  0.5230  0.3096 (multiplicity 4)  1 Mo 1.88
O  0.1520  0.7972  0.2949 (multiplicity 4)  1 Mo 2.09, 1 Nd 2.27
O  0.2295  0.1815  0.2898 (multiplicity 4)  1 Mo 1.92

Results
* magnetic moment: 0.113 μB/atom
* E_tot: -7.062 eV/atom